The following is a DFT calculation (PBE) of an optimized crystal structure of NaTlZn2Br6.

DFT total energy, eV/atom: -2.62

Geometry as extended XYZ:
```
20
Lattice="7.0255 -6.9995 0.0000 7.0255 6.9995 0.0000 -1.1389 0.0000 7.0190" Properties=species:S:1:pos:R:3 pbc="T T T"
Na 6.1713 4.1326 5.2643
Na 6.7408 -4.1326 1.7548
Tl 6.7408 1.4209 1.7548
Tl 6.1713 -1.4209 5.2643
Zn 1.9606 1.1551 5.4149
Zn 2.5300 -1.1551 1.9054
Zn 10.3821 1.1551 5.1136
Zn 10.9515 -1.1551 1.6041
Br 1.9815 0.9252 0.6423
Br 4.8552 3.9342 2.7051
Br 1.4121 -0.9252 4.1518
Br 4.3425 1.4052 5.7061
Br 8.6263 3.9342 0.8044
Br 4.9120 -1.4052 2.1966
Br 8.0001 1.4052 4.8225
Br 4.2858 -3.9342 6.2146
Br 8.5696 -1.4052 1.3130
Br 11.5000 0.9252 2.8672
Br 8.0569 -3.9342 4.3140
Br 10.9306 -0.9252 6.3767
```

=====

The following is a DFT calculation (PBE) of an optimized crystal structure of NaTl2ZnBr4.

DFT total energy, eV/atom: -2.56

Geometry as extended XYZ:
```
16
Lattice="0.0000 6.3730 14.2719 3.3415 0.0000 14.2719 3.3415 6.3730 0.0000" Properties=species:S:1:pos:R:3 pbc="T T T"
Na 0.8354 1.5932 3.5680
Na 5.8477 11.1527 24.9757
Tl 2.5062 4.7797 0.2632
Tl 4.1769 7.9662 7.3992
Tl 2.5062 4.7797 21.1446
Tl 4.1769 7.9662 28.2805
Zn 2.5062 4.7797 10.7039
Zn 4.1769 7.9662 17.8398
Br 3.8990 3.4334 9.2077
Br 3.8990 6.1261 12.2001
Br 5.5697 6.6199 19.3360
Br 5.5697 9.3126 16.3436
Br 1.1134 3.4334 12.2001
Br 1.1134 6.1261 9.2077
Br 2.7841 6.6199 16.3436
Br 2.7841 9.3126 19.3360
```

=====

The following is a DFT calculation (PBE) of an optimized crystal structure of Na2ZrTlBr8.

DFT total energy, eV/atom: -3.44

Geometry as extended XYZ:
```
12
Lattice="6.1590 0.0000 0.0000 -0.2348 7.0861 0.0000 -0.0176 -0.0017 9.4960" Properties=species:S:1:pos:R:3 pbc="T T T"
Na -0.2358 7.0852 2.5810
Na 6.1424 -0.0008 6.9150
Zr 2.9533 3.5422 4.7480
Tl 2.9621 3.5430 0.0000
Br 1.5591 0.1537 0.0003
Br 1.4328 4.5430 2.8273
Br 1.4327 4.5508 6.6637
Br 1.5515 1.2788 4.7527
Br 4.3551 5.8056 4.7433
Br 4.4739 2.5336 2.8323
Br 4.4738 2.5414 6.6687
Br 4.3475 6.9307 9.4956
```

=====

The following is a DFT calculation (PBE) of an optimized crystal structure of NaZrTl2Br.

DFT total energy, eV/atom: -2.49

Geometry as extended XYZ:
```
5
Lattice="5.4082 0.0000 0.0000 0.0000 5.4082 0.0000 0.0000 0.0000 5.5526" Properties=species:S:1:pos:R:3 pbc="T T T"
Na 0.0000 0.0000 0.0000
Zr 0.0000 0.0000 2.7763
Tl 0.0000 2.7041 0.0000
Tl 2.7041 0.0000 0.0000
Br 2.7041 2.7041 2.7763
```

=====

The following is a DFT calculation (PBE) of an optimized crystal structure of Na2ZrTlBr.

DFT total energy, eV/atom: -2.75

Geometry as extended XYZ:
```
5
Lattice="5.0982 0.0000 0.0000 0.0000 5.0982 0.0000 0.0000 0.0000 6.5863" Properties=species:S:1:pos:R:3 pbc="T T T"
Na 0.0000 2.5491 0.0000
Na 2.5491 0.0000 0.0000
Zr 0.0000 0.0000 3.2931
Tl 2.5491 2.5491 3.2931
Br 2.5491 2.5491 0.0000
```

=====

The following is a DFT calculation (PBE) of an optimized crystal structure of NaTmBr4.

Relative energy among the computed polymorphs, kJ per mole of atoms: 0.0
DFT total energy, eV/atom: -3.84

Geometry as extended XYZ:
```
6
Lattice="7.0532 0.0000 0.0000 0.0000 4.1272 0.0000 -0.2014 0.0000 7.5231" Properties=species:S:1:pos:R:3 pbc="T T T"
Na 0.0000 0.0000 0.0000
Tm -0.1007 2.0636 3.7615
Br 1.4615 2.0636 1.5195
Br 1.4712 0.0000 4.8717
Br 5.3805 0.0000 2.6514
Br 5.3903 2.0636 6.0036
```

=====

The following is a DFT calculation (PBE) of an optimized crystal structure of Na3TmBr6.

DFT total energy, eV/atom: -3.52

Geometry as extended XYZ:
```
20
Lattice="7.2729 0.0000 0.0000 0.0000 7.7473 0.0000 -7.1427 0.0000 10.8295" Properties=species:S:1:pos:R:3 pbc="T T T"
Na 0.0000 0.0000 0.0000
Na -3.5714 3.8737 5.4147
Na -3.7605 0.6489 7.9672
Na -0.1891 3.2248 2.5525
Na 0.3192 4.5226 8.2770
Na 3.8906 7.0984 2.8623
Tm 0.0651 0.0000 5.4147
Tm 3.6364 3.8737 0.0000
Br -2.2080 1.3982 4.7207
Br -5.7794 2.4754 10.1354
Br -1.1716 5.4176 4.5287
Br -4.7430 6.2035 9.9435
Br 1.0727 0.4926 2.8631
Br -2.4987 3.3811 8.2778
Br 2.6288 4.3662 2.5517
Br -0.9426 7.2548 7.9664
Br 4.8731 1.5439 0.8860
Br 1.3018 2.3298 6.3007
Br 5.9095 5.2719 0.6940
Br 2.3382 6.3491 6.1087
```

=====

The following is a DFT calculation (PBE) of an optimized crystal structure of NaTmBr4.

Relative energy among the computed polymorphs, kJ per mole of atoms: 2.9
DFT total energy, eV/atom: -3.81

Geometry as extended XYZ:
```
12
Lattice="4.3288 -8.7661 0.0000 4.3288 8.7661 0.0000 -4.0518 0.0000 5.7730" Properties=species:S:1:pos:R:3 pbc="T T T"
Na 1.2899 7.1882 4.3297
Na 3.3158 -7.1882 1.4432
Tm 3.3158 1.3415 1.4432
Tm 1.2899 -1.3415 4.3297
Br 1.3620 3.1146 1.4040
Br -0.7619 0.7753 4.4520
Br 1.2641 -0.7753 1.5655
Br -0.6639 -3.1146 4.2905
Br 5.2696 3.1146 1.4825
Br 3.3416 0.7753 4.2074
Br 5.3676 -0.7753 1.3210
Br 3.2437 -3.1146 4.3690
```

=====

The following is a DFT calculation (PBE) of an optimized crystal structure of NaTmBr2.

DFT total energy, eV/atom: -3.44

Geometry as extended XYZ:
```
4
Lattice="2.0010 1.1553 9.0351 -2.0010 1.1553 9.0351 0.0000 -2.3106 9.0351" Properties=species:S:1:pos:R:3 pbc="T T T"
Na 0.0000 0.0000 0.0000
Tm 0.0000 0.0000 13.5526
Br 0.0000 0.0000 10.8111
Br 0.0000 0.0000 16.2940
```

=====

The following is a DFT calculation (PBE) of an optimized crystal structure of NaTmZnBr6.

DFT total energy, eV/atom: -3.32

Geometry as extended XYZ:
```
18
Lattice="6.9554 0.0000 0.0000 -3.4777 6.0236 0.0000 0.0000 0.0000 13.3376" Properties=species:S:1:pos:R:3 pbc="T T T"
Na 0.0000 0.0000 0.0000
Na 0.0000 0.0000 6.6688
Tm 0.0000 4.0157 3.3344
Tm 3.4777 2.0079 10.0032
Zn 0.0000 4.0157 10.0032
Zn 3.4777 2.0079 3.3344
Br -1.1850 2.2017 8.4536
Br -2.1635 3.8964 11.5527
Br 1.1850 2.2017 11.5527
Br -0.9784 5.9490 8.4536
Br 2.4993 0.0746 1.7848
Br 1.3143 2.1271 4.8840
Br 2.1635 3.8964 8.4536
Br 0.9784 5.9490 11.5527
Br 4.4561 0.0746 4.8840
Br 2.2927 3.8218 1.7848
Br 5.6412 2.1271 1.7848
Br 4.6628 3.8218 4.8840
```

=====

D(E_F): 0.000, 0.179, 0.132, 1.134, 1.215, 0.000, 0.000, 0.000, 0.153, 0.000 (states/eV/atom)
E_form (uncorrected): -1.00, -0.81, -1.19, 0.77, 0.29, -1.76, -1.67, -1.73, -1.16, -1.42 (eV/atom)